# 1
Below is a geometry-optimized CdIn7Bi5 structure, with properties calculated at the PBE-GGA level.

Results
- energy of formation (eV/atom) = 0.0544

Cell lengths 4.8111, 9.3260, 9.3260 Å; angles 87.64, 75.56, 75.56 degrees
With the nearest neighbours (Å) after each atom.
Element x y z (fractional)
1 Cd 0.0839 0.0079 0.0079  4 Bi 3.17-3.26, 2 In 3.33-3.52
2 In 0.6994 0.3721 0.3721  7 In 3.22-3.29, 2 Bi 3.37
3 In 0.4463 0.6323 0.6323  3 Bi 3.21-3.57, 5 In 3.29-3.39
4 In 0.0815 0.3698 0.6206  7 In 3.20-3.39, 2 Bi 3.42-3.46
5 In 0.0815 0.6206 0.3698  7 In 3.20-3.39, 2 Bi 3.42-3.46
6 In 0.3688 0.2009 0.2009  2 In 3.22-3.25, 2 Cd 3.33-3.52, 4 Bi 3.37-3.41
7 In 0.5782 0.7865 0.2057  2 In 3.20-3.22, 5 Bi 3.33-3.51, 1 Cd 3.57
8 In 0.5782 0.2057 0.7865  2 In 3.20-3.22, 5 Bi 3.33-3.51, 1 Cd 3.57
9 Bi 0.2762 0.9867 0.6068  4 Bi 3.21-3.54, 4 In 3.21-3.51
10 Bi 0.8910 0.9994 0.3685  2 Bi 3.21-3.25, 1 Cd 3.26, 6 In 3.37-3.42
11 Bi 0.2762 0.6068 0.9867  4 Bi 3.21-3.54, 4 In 3.21-3.51
12 Bi 0.8910 0.3685 0.9994  2 Bi 3.21-3.25, 1 Cd 3.26, 6 In 3.37-3.42
13 Bi 0.7479 0.8428 0.8428  2 Cd 3.17-3.20, 2 In 3.33, 4 Bi 3.43-3.54

# 2
Below is a geometry-optimized AcSb2RhO8 structure, with properties calculated at the PBE-GGA level.

Results
- energy relative to the elements, uncorrected (eV per atom) = -1.54

Cell lengths 5.0359, 5.0092, 6.5539 Å; angles 90.00, 90.00, 87.27 degrees
With the nearest neighbours (Å) after each atom.
Element x y z (fractional)
1 Ac 0.0000 0.0000 0.5000  6 O 2.38-2.44
2 Sb 0.5000 0.5000 0.7622  6 O 1.97-2.12
3 Sb 0.5000 0.5000 0.2378  6 O 1.97-2.12
4 Rh 0.0000 0.0000 0.0000  6 O 2.08-2.20
5 O 0.1992 0.7662 0.2187  1 Sb 1.97, 1 Rh 2.08
6 O 0.6814 0.7131 0.0000  2 Sb 2.12, 1 Rh 2.20
7 O 0.8008 0.2338 0.2187  1 Sb 1.97, 1 Rh 2.08
8 O 0.8008 0.2338 0.7813  1 Sb 1.97, 1 Rh 2.08
9 O 0.3186 0.2869 0.0000  2 Sb 2.12, 1 Rh 2.20
10 O 0.1992 0.7662 0.7813  1 Sb 1.97, 1 Rh 2.08
11 O 0.6461 0.6841 0.5000  2 Sb 2.10
12 O 0.3539 0.3159 0.5000  2 Sb 2.10

# 3
Below is a geometry-optimized SiNi2Ru structure, with properties calculated at the PBE-GGA level.

Results
- energy relative to the elements, uncorrected (eV per atom) = -0.23

Cell lengths 4.6362, 4.6362, 4.6362 Å; angles 141.35, 128.70, 66.03 degrees
With the nearest neighbours (Å) after each atom.
Element x y z (fractional)
1 Ni 0.0240 0.0240 0.0000  2 Si 2.28, 4 Ru 2.55
2 Ni 0.7553 0.2553 0.5000  4 Si 2.53, 4 Ni 2.59-2.69, 4 Ru 2.63-2.66
3 Ru 0.4803 0.4803 0.0000  2 Si 2.42, 8 Ni 2.55-2.66
4 Si 0.2403 0.7403 0.5000  6 Ni 2.28-2.53, 2 Ru 2.42

# 4
Below is a geometry-optimized RhC2 structure, with properties calculated at the PBE-GGA level.

Results
- polymorph energy (0 for the lowest one) (kJ/mol of formula units) = 253
- energy of formation (eV/atom) = 1.3361

Cell lengths 4.1491, 4.1491, 4.1491 Å; angles 114.20, 114.20, 100.38 degrees
With the nearest neighbours (Å) after each atom.
Element x y z (fractional)
1 Rh 0.2500 0.2500 0.0000  8 C 2.25
2 Rh 0.7500 0.7500 0.0000  8 C 2.25
3 C 0.3885 0.8885 0.2770  1 C 1.42
4 C 0.6115 0.1115 0.7230  1 C 1.42
5 C 0.1115 0.3885 0.5000  1 C 1.42
6 C 0.8885 0.6115 0.5000  1 C 1.42

# 5
Below is a geometry-optimized Na2SnSbS5 structure, with properties calculated at the PBE-GGA level.

Results
- energy relative to the elements, uncorrected (eV per atom) = -0.56

Cell lengths 3.7859, 9.3971, 13.1024 Å; angles 90.00, 90.00, 101.62 degrees
With the nearest neighbours (Å) after each atom.
Element x y z (fractional)
1 Na 0.8919 0.7839 0.8316  4 S 2.87-2.95
2 Na 0.0891 0.1782 0.6458  6 S 2.87-3.08
3 Na 0.1081 0.2161 0.3316  4 S 2.87-2.95
4 Na 0.9109 0.8218 0.1458  6 S 2.87-3.08
5 Sn 0.5751 0.1502 0.9241  4 S 2.34-2.47
6 Sn 0.4249 0.8498 0.4241  4 S 2.34-2.47
7 Sb 0.7553 0.5106 0.5433  3 S 2.38-2.59
8 Sb 0.2447 0.4894 0.0433  3 S 2.38-2.59
9 S 0.3688 0.7375 0.9927  1 Sb 2.38
10 S 0.7061 0.4122 0.8932  1 Sn 2.45
11 S 0.5077 0.0154 0.7725  1 Sn 2.34
12 S 0.2547 0.5094 0.6786  2 Sb 2.59
13 S 0.9441 0.8882 0.5423  2 Sn 2.47
14 S 0.6312 0.2625 0.4927  1 Sb 2.38
15 S 0.2939 0.5878 0.3932  1 Sn 2.45
16 S 0.4923 0.9846 0.2725  1 Sn 2.34
17 S 0.7453 0.4906 0.1786  2 Sb 2.59
18 S 0.0559 0.1118 0.0423  2 Sn 2.47

# 6
Below is a geometry-optimized Al2Cl structure, with properties calculated at the PBE-GGA level.

Results
- polymorph energy (0 for the lowest one) (kJ/mol of formula units) = 50
- energy relative to the elements, uncorrected (eV per atom) = -0.28

Cell lengths 6.8087, 6.8087, 6.5908 Å; angles 72.65, 72.65, 27.59 degrees
With the nearest neighbours (Å) after each atom.
Element x y z (fractional)
1 Al 0.9862 0.9862 0.2048  2 Cl 2.61, 3 Al 2.61-2.72
2 Al 0.6638 0.6638 0.5370  1 Cl 2.35
3 Al 0.3362 0.3362 0.4630  1 Cl 2.35
4 Al 0.0138 0.0138 0.7952  2 Cl 2.61, 3 Al 2.61-2.72
5 Cl 0.3581 0.3581 0.8039  3 Al 2.35-2.61
6 Cl 0.6419 0.6419 0.1961  3 Al 2.35-2.61

# 7
Below is a geometry-optimized KBaNa2 structure, with properties calculated at the PBE-GGA level.

Results
- polymorph energy (0 for the lowest one) (kJ/mol of formula units) = 53
- energy of formation (eV/atom) = 0.1509

Cell lengths 10.2688, 10.2688, 8.3540 Å; angles 52.08, 52.08, 90.00 degrees
With the nearest neighbours (Å) after each atom.
Element x y z (fractional)
1 Na 0.6060 0.1250 0.2500  2 K 3.64, 2 Ba 3.91
2 Na 0.1440 0.6250 0.2500  2 K 3.64, 2 Ba 3.91
3 Na 0.3750 0.3940 0.7500  2 K 3.64, 2 Ba 3.91
4 Na 0.8750 0.8560 0.7500  2 K 3.64, 2 Ba 3.91
5 K 0.5000 0.5000 0.0000  4 Na 3.64
6 K 0.2500 0.7500 0.5000  4 Na 3.64
7 Ba 0.0000 0.0000 0.0000  4 Na 3.91, 2 K 4.13
8 Ba 0.7500 0.2500 0.5000  4 Na 3.91, 2 K 4.13

# 8
Below is a geometry-optimized NaHS2N structure, with properties calculated at the PBE-GGA level.

Results
- polymorph energy (0 for the lowest one) (kJ/mol of formula units) = 568

Cell lengths 5.4533, 5.4533, 5.2222 Å; angles 90.00, 90.00, 90.00 degrees
With the nearest neighbours (Å) after each atom.
Element x y z (fractional)
1 Na 0.0000 0.0000 0.0000  2 N 2.61, 4 S 2.73
2 S 0.0000 0.5000 0.0000  2 Na 2.73
3 S 0.5000 0.0000 0.0000  2 Na 2.73
4 H 0.5000 0.5000 0.5000  8 S 3.78, 4 N 3.86
5 N 0.0000 0.0000 0.5000  2 Na 2.61

# 9
Below is a geometry-optimized RbP2SBr structure, with properties calculated at the PBE-GGA level.

Results
- polymorph energy (0 for the lowest one) (kJ/mol of formula units) = 386
- energy relative to the elements, uncorrected (eV per atom) = 1.62

Cell lengths 7.0095, 7.0095, 6.1449 Å; angles 90.00, 90.00, 90.00 degrees
With the nearest neighbours (Å) after each atom.
Element x y z (fractional)
1 P 0.0000 0.5000 0.0000  2 Rb 3.50
2 P 0.5000 0.0000 0.0000  2 Rb 3.50
3 S 0.0000 0.0000 0.5000  2 Rb 3.07
4 Br 0.5000 0.5000 0.5000  8 P 4.66, 4 S 4.96
5 Rb 0.0000 0.0000 0.0000  2 S 3.07

# 10
Below is a geometry-optimized Pu2CuSi6Rh structure, with properties calculated at the PBE-GGA level.

Results
- energy relative to the elements, uncorrected (eV per atom) = -0.29

Cell lengths 5.8680, 5.8680, 12.6398 Å; angles 76.58, 76.58, 60.00 degrees
With the nearest neighbours (Å) after each atom.
Element x y z (fractional)
1 Pu 0.8704 0.8704 0.3887  12 Si 2.95-3.10
2 Pu 0.1296 0.1296 0.6113  12 Si 2.95-3.10
3 Pu 0.7196 0.7196 0.8413  9 Si 2.95-3.08
4 Pu 0.2804 0.2804 0.1587  9 Si 2.95-3.08
5 Cu 0.0000 0.0000 0.0000  6 Si 2.41
6 Cu 0.5000 0.5000 0.5000  6 Si 2.46, 2 Rh 2.74
7 Si 0.9367 0.3386 0.3860  2 Si 2.36, 1 Rh 2.44, 1 Cu 2.46
8 Si 0.3386 0.9367 0.3860  2 Si 2.36, 1 Rh 2.44, 1 Cu 2.46
9 Si 0.3386 0.3386 0.3860  2 Si 2.36, 1 Rh 2.44, 1 Cu 2.46
10 Si 0.0633 0.6614 0.6140  2 Si 2.36, 1 Rh 2.44, 1 Cu 2.46
11 Si 0.6614 0.0633 0.6140  2 Si 2.36, 1 Rh 2.44, 1 Cu 2.46
12 Si 0.6614 0.6614 0.6140  2 Si 2.36, 1 Rh 2.44, 1 Cu 2.46
13 Si 0.7784 0.1914 0.8387  1 Cu 2.41, 2 Si 2.42, 1 Rh 2.42
14 Si 0.1914 0.7784 0.8387  1 Cu 2.41, 2 Si 2.42, 1 Rh 2.42
15 Si 0.1914 0.1914 0.8387  1 Cu 2.41, 2 Si 2.42, 1 Rh 2.42
16 Si 0.2216 0.8086 0.1613  1 Cu 2.41, 2 Si 2.42, 1 Rh 2.42
17 Si 0.8086 0.2216 0.1613  1 Cu 2.41, 2 Si 2.42, 1 Rh 2.42
18 Si 0.8086 0.8086 0.1613  1 Cu 2.41, 2 Si 2.42, 1 Rh 2.42
19 Rh 0.5750 0.5750 0.2751  6 Si 2.42-2.44
20 Rh 0.4250 0.4250 0.7249  6 Si 2.42-2.44

# 11
Below is a geometry-optimized LiLaThSn structure, with properties calculated at the PBE-GGA level.

Results
- energy of formation (eV/atom) = -0.2608

Cell lengths 5.4374, 5.4374, 5.4374 Å; angles 60.00, 60.00, 60.00 degrees
With the nearest neighbours (Å) after each atom.
Element x y z (fractional)
1 Li 0.0000 0.0000 0.0000  4 La 3.33, 4 Th 3.33
2 Sn 0.5000 0.5000 0.5000  4 Th 3.33, 4 La 3.33
3 Th 0.7500 0.7500 0.7500  4 Sn 3.33, 4 Li 3.33
4 La 0.2500 0.2500 0.2500  4 Sn 3.33, 4 Li 3.33

# 12
Below is a geometry-optimized Li2LaZn4 structure, with properties calculated at the PBE-GGA level.

Results
- energy of formation (eV/atom) = -0.1603

Cell lengths 4.5656, 3.2334, 9.6729 Å; angles 99.62, 103.65, 90.00 degrees
With the nearest neighbours (Å) after each atom.
Element x y z (fractional)
1 Li 0.7996 0.7996 0.5992  7 Zn 2.71-2.93
2 Li 0.2004 0.2004 0.4008  7 Zn 2.71-2.93
3 La 0.5000 0.0000 0.0000  12 Zn 3.18-3.27, 2 La 3.23
4 Zn 0.6534 0.6534 0.3068  2 Zn 2.64, 5 Li 2.71-2.93
5 Zn 0.3466 0.3466 0.6932  2 Zn 2.64, 5 Li 2.71-2.93
6 Zn 0.0816 0.5816 0.1633  2 Zn 2.64, 2 Li 2.73
7 Zn 0.9184 0.4184 0.8367  2 Zn 2.64, 2 Li 2.73

Number 1: E_tot -2.983 eV per atom. Number 2: E_tot -6.484 eV per atom. Number 3: E_tot -6.799 eV per atom. Number 4: E_tot -7.264 eV per atom. Number 5: E_tot -4.050 eV per atom. Number 6: E_tot -3.387 eV per atom. Number 7: E_tot -1.264 eV per atom. Number 8: E_tot -2.298 eV per atom. Number 9: E_tot -1.895 eV per atom. Number 10: E_tot -7.560 eV per atom. Number 11: E_tot -4.827 eV per atom. Number 12: E_tot -2.139 eV per atom.